Record 1
Density functional theory data (PBE) for a relaxed LuZrIrPd crystal.

Results
Its volume is 19.0 Å³/atom. Its density of states at the Fermi level is 4.86 states/eV/f.u. The crystal system is cubic. The raw total energy comes out at -30.51 eV per cell. The calculated density comes out at 12.3 g cm⁻³.

abc: 4.754 4.754 4.754
angles: 60.00 60.00 60.00
Fractional positions:
Lu1 0.000 0.000 0.000
Zr1 0.500 0.500 0.500
Ir1 0.750 0.750 0.750
Pd1 0.250 0.250 0.250


Record 2
Density functional theory data (PBE) for a relaxed PmLuIr crystal.

Results
Its volume is 26.5 Å³/atom. Its density of states at the Fermi level is 3.25 states/eV/f.u. The crystal system is cubic. The raw total energy comes out at -20.09 eV per cell. The calculated density comes out at 10.7 g cm⁻³. For the excess energy over the best structure of this formula in the dataset, the calculation gives 0.0 meV/atom.

abc: 4.824 4.824 4.824
angles: 60.00 60.00 60.00
Fractional positions:
Pm1 0.000 0.000 0.000
Lu1 0.500 0.500 0.500
Ir1 0.250 0.250 0.250


Record 3
Density functional theory data (PBE) for a relaxed Pm2LuIr crystal.

Results
Its volume is 32.5 Å³/atom. Its density of states at the Fermi level is 5.21 states/eV/f.u. The crystal system is trigonal. The raw total energy comes out at -22.98 eV per cell. The calculated density comes out at 8.4 g cm⁻³. For the excess energy over the best structure of this formula in the dataset, the calculation gives 223.3 meV/atom.

abc: 10.793 10.793 10.793
angles: 20.12 20.12 20.12
Fractional positions:
Pm1 0.111 0.111 0.111
Pm2 0.889 0.889 0.889
Lu1 0.000 0.000 0.000
Ir1 0.500 0.500 0.500


Record 4
Density functional theory data (PBE) for a relaxed PmLuIr crystal.

Results
Its volume is 25.6 Å³/atom. Its density of states at the Fermi level is 3.75 states/eV/f.u. The crystal system is tetragonal. The raw total energy comes out at -19.76 eV per cell. The calculated density comes out at 11.1 g cm⁻³. For the excess energy over the best structure of this formula in the dataset, the calculation gives 109.9 meV/atom.

abc: 6.806 6.806 6.806
angles: 150.39 150.39 42.36
Fractional positions:
Pm1 0.000 0.000 0.000
Lu1 0.257 0.257 0.000
Ir1 0.639 0.639 0.000


Record 5
Density functional theory data (PBE) for a relaxed Pm2LuIr crystal.

Results
Its volume is 27.8 Å³/atom. Its density of states at the Fermi level is 4.17 states/eV/f.u. The crystal system is tetragonal. The raw total energy comes out at -23.87 eV per cell. The calculated density comes out at 9.8 g cm⁻³. For the excess energy over the best structure of this formula in the dataset, the calculation gives 0.0 meV/atom.

abc: 3.611 3.611 8.539
angles: 90.00 90.00 90.00
Fractional positions:
Pm1 0.000 0.000 0.192
Pm2 0.000 0.000 0.808
Lu1 0.500 0.500 0.500
Ir1 0.500 0.500 0.000


Record 6
Density functional theory data (PBE) for a relaxed PmLu2Ir crystal.

Results
Its volume is 25.6 Å³/atom. Its density of states at the Fermi level is 4.76 states/eV/f.u. The crystal system is tetragonal. The raw total energy comes out at -24.66 eV per cell. The calculated density comes out at 11.2 g cm⁻³. For the excess energy over the best structure of this formula in the dataset, the calculation gives 0.0 meV/atom.

abc: 3.417 3.417 8.755
angles: 90.00 90.00 90.00
Fractional positions:
Pm1 0.000 0.000 0.000
Lu1 0.500 0.500 0.316
Lu2 0.500 0.500 0.684
Ir1 0.000 0.000 0.500


Record-wise E_form values, in meV per atom: -847, -652, -23, -542, -247, -501